1.
The following is a GGA-PBE calculation of a relaxed Mn2Ni4Pt crystal, from Alexandria.

Cell and atoms, written as POSCAR:
```
Mn2Ni4Pt
1.0
3.400 -3.856 0.000
3.400 3.856 0.000
0.000 0.000 3.566
Mn Ni Pt
2 4 1
direct
0.209 0.209 0.000
0.791 0.791 0.000
0.000 0.500 0.500
0.262 0.738 0.000
0.500 0.000 0.500
0.738 0.262 0.000
0.500 0.500 0.500
```

Properties
The energy of formation from the pure elements is 45 meV/atom. For the total energy, the calculation gives -6.74 eV/atom.


2.
The following is a GGA-PBE calculation of a relaxed MnNi3Pt crystal, from Alexandria.

Cell and atoms, written as POSCAR:
```
MnNi3Pt
1.0
1.933 -6.333 0.000
1.933 6.333 0.000
0.000 0.000 5.150
Mn Ni Pt
2 6 2
direct
0.207 0.793 0.750
0.793 0.207 0.250
0.191 0.809 0.250
0.390 0.610 0.000
0.390 0.610 0.500
0.610 0.390 0.000
0.610 0.390 0.500
0.809 0.191 0.750
0.008 0.992 0.750
0.992 0.008 0.250
```

Properties
The relative energy among the computed polymorphs is 0.033 eV/atom. The energy of formation from the pure elements is -19 meV/atom. For the total energy, the calculation gives -6.53 eV/atom.


3.
The following is a GGA-PBE calculation of a relaxed MnNi6Pt2 crystal, from Alexandria.

Cell and atoms, written as POSCAR:
```
MnNi6Pt2
1.0
3.549 2.049 2.567
-3.549 2.049 2.567
0.000 -4.098 2.567
Mn Ni Pt
1 6 2
direct
0.000 0.000 0.000
0.167 0.500 0.833
0.167 0.833 0.500
0.500 0.167 0.833
0.500 0.833 0.167
0.833 0.167 0.500
0.833 0.500 0.167
0.326 0.326 0.326
0.674 0.674 0.674
```

Properties
The energy of formation from the pure elements is -42 meV/atom. For the total energy, the calculation gives -6.26 eV/atom.


4.
The following is a GGA-PBE calculation of a relaxed MnNiPt2 crystal, from Alexandria.

Cell and atoms, written as POSCAR:
```
MnNiPt2
1.0
1.380 0.797 8.602
-1.380 0.797 8.602
0.000 -1.594 8.602
Mn Ni Pt
1 1 2
direct
0.000 0.000 0.000
0.500 0.500 0.500
0.249 0.249 0.249
0.751 0.751 0.751
```

Properties
The energy of formation from the pure elements is -133 meV/atom. For the total energy, the calculation gives -6.89 eV/atom.


5.
The following is a GGA-PBE calculation of a relaxed MnNi2Pt9 crystal, from Alexandria.

Cell and atoms, written as POSCAR:
```
MnNi2Pt9
1.0
3.897 0.000 0.000
0.000 3.897 0.000
0.000 0.000 11.724
Mn Ni Pt
1 2 9
direct
0.000 0.000 0.000
0.000 0.000 0.338
0.000 0.000 0.662
0.000 0.500 0.169
0.000 0.500 0.500
0.000 0.500 0.831
0.500 0.000 0.169
0.500 0.000 0.500
0.500 0.000 0.831
0.500 0.500 0.000
0.500 0.500 0.334
0.500 0.500 0.666
```

Properties
The energy of formation from the pure elements is -165 meV/atom. For the total energy, the calculation gives -6.42 eV/atom.


6.
The following is a GGA-PBE calculation of a relaxed MnNiPt4 crystal, from Alexandria.

Cell and atoms, written as POSCAR:
```
MnNiPt4
1.0
3.860 0.000 0.000
0.000 3.860 0.000
0.000 0.000 6.744
Mn Ni Pt
1 1 4
direct
0.000 0.000 0.000
0.500 0.500 0.500
0.000 0.500 0.256
0.000 0.500 0.744
0.500 0.000 0.256
0.500 0.000 0.744
```

Properties
The relative energy among the computed polymorphs is 0.147 eV/atom. The energy of formation from the pure elements is 57 meV/atom. For the total energy, the calculation gives -6.46 eV/atom.


7.
The following is a GGA-PBE calculation of a relaxed MnNiPt crystal, from Alexandria.

Cell and atoms, written as POSCAR:
```
MnNiPt
1.0
5.612 -1.374 0.000
5.612 1.374 0.000
-1.391 0.000 5.291
Mn Ni Pt
2 2 2
direct
0.003 0.003 0.243
0.997 0.997 0.757
0.339 0.339 0.921
0.661 0.661 0.079
0.336 0.336 0.403
0.664 0.664 0.597
```

Properties
The relative energy among the computed polymorphs is 0.028 eV/atom. The energy of formation from the pure elements is -152 meV/atom. For the total energy, the calculation gives -7.15 eV/atom.


8.
The following is a GGA-PBE calculation of a relaxed MnNiPt crystal, from Alexandria.

Cell and atoms, written as POSCAR:
```
MnNiPt
1.0
-1.372 1.796 4.063
1.372 -1.796 4.063
1.372 1.796 -4.063
Mn Ni Pt
1 1 1
direct
0.000 0.000 0.000
0.343 0.343 0.000
0.672 0.672 0.000
```

Properties
The relative energy among the computed polymorphs is 0.000 eV/atom. The energy of formation from the pure elements is -181 meV/atom. For the total energy, the calculation gives -7.18 eV/atom.